1.
Computed, not measured: a relaxed structure of ZnFe5Co4 at the PBE level of DFT.

extended XYZ file:
```
10
Lattice="5.9151 -1.9747 0.0000 5.9151 1.9747 0.0000 -0.0811 0.0000 5.5676" Properties=species:S:1:pos:R:3 pbc="T T T"
Zn 0.0000 0.0000 0.0000
Fe -0.0405 0.0000 2.7838
Fe 3.8414 0.0000 2.8388
Fe 3.8157 0.0000 5.5199
Fe 7.9334 0.0000 0.0477
Fe 7.9077 0.0000 2.7288
Co 1.9121 0.0000 4.1518
Co 5.8484 0.0000 1.4302
Co 5.9007 0.0000 4.1374
Co 9.8371 0.0000 1.4158
```

ΔE_f ... 245 meV/atom
Space group ... C2/m (12)
Relative energy among the computed polymorphs ... 154 meV/atom



2.
Computed, not measured: a relaxed structure of Pa2GaBr11 at the PBE level of DFT.

extended XYZ file:
```
28
Lattice="-5.7444 7.9775 7.4349 5.7444 -7.9775 7.4349 5.7444 7.9775 -7.4349" Properties=species:S:1:pos:R:3 pbc="T T T"
Pa 2.6114 1.2377 0.0000
Pa 2.6114 -1.2377 7.4349
Pa 3.1330 9.2152 0.0000
Pa 3.1330 6.7398 7.4349
Ga 5.7444 0.0000 3.7175
Ga 0.0000 7.9775 3.7175
Br 0.0000 0.0000 0.0000
Br 1.7482 2.8615 -1.9324
Br 3.3629 -0.6149 1.8844
Br 5.0315 2.3438 0.0000
Br 8.1258 0.6149 1.8844
Br 7.4926 5.1160 -1.9324
Br 1.7482 2.8615 1.9324
Br 2.3815 7.3626 -1.8844
Br 5.0315 -2.3438 7.4349
Br 3.3629 0.6149 5.5506
Br 7.4926 5.1160 1.9324
Br 0.0000 0.0000 7.4349
Br -1.7482 2.8615 5.5025
Br 2.3815 7.3626 1.8844
Br 0.7128 10.3213 0.0000
Br 3.3629 0.6149 9.3193
Br 3.9962 5.1160 5.5025
Br -1.7482 2.8615 9.3673
Br -2.3815 7.3626 5.5506
Br 0.7128 5.6337 7.4349
Br 2.3815 8.5924 5.5506
Br 3.9962 5.1160 9.3673
```

Formation energy from raw total energies ... -17.91 eV/f.u.
Space group ... Ibam (72)